First-principles (PBE-GGA) data for a relaxed Tb4In3Ga crystal, as listed in the Alexandria database.

Properties
E = -33.77 eV/f.u.
E_form = -4.0 eV per formula unit
offset from the most stable computed form = 0.000 eV/atom

a b c (Å): 3.6854 3.6854 15.2979
angles (deg): 90.00 90.00 90.00
With the nearest neighbours (Å) after each atom.
Space group P4/mmm (No. 123)
Inequivalent atoms, fractional coordinates:
Tb 0.0000 0.0000 0.1142  4 Ga 3.14, 4 In 3.26, 1 Tb 3.49
Tb 0.0000 0.0000 0.3706  8 In 3.26-3.27
In 0.5000 0.5000 0.2427  8 Tb 3.26
In 0.5000 0.5000 0.5000  8 Tb 3.27
Ga 0.5000 0.5000 0.0000  8 Tb 3.14

=====

First-principles (PBE-GGA) data for a relaxed ZnSiRh2 crystal, as listed in the Alexandria database.

Properties
E = -23.97 eV/f.u.
E_form (uncorrected) = -641 meV/atom
offset from the most stable computed form = 0.035 eV/atom

a b c (Å): 5.9593 5.9593 5.9593
angles (deg): 90.00 90.00 90.00
With the nearest neighbours (Å) after each atom.
Space group Fm-3m (No. 225)
Inequivalent atoms, fractional coordinates:
Zn 0.0000 0.0000 0.0000  8 Rh 2.58
Si 0.0000 0.0000 0.5000  8 Rh 2.58
Rh 0.2500 0.2500 0.2500  4 Si 2.58, 4 Zn 2.58